First-principles (GGA-PBE) data for an optimized crystal structure of Mg2AgAs, as listed in Alexandria.

a = 3.773 Å, b = 3.124 Å, c = 7.160 Å
α = 63.99°, β = 90.00°, γ = 90.00°
Positions (direct):
Ag  0.500  0.250  0.250
As  0.500  0.750  0.750
Mg  0.000  0.996  0.003
Mg  0.000  0.504  0.497

Size of the total moment (μB per formula unit): 0.000
E (eV per atom): -2.920
Calculated volume (A^3/atom): 18.96
Formation enthalpy at 0 K (meV/atom): -247